The following is a DFT calculation (GGA-PBE) of LiScCd2O4 after structural relaxation.

Lattice parameters (Å, degrees): 6.490 6.644 8.894 90.00 90.00 90.00
Space group Imma (No. 74)
Symmetry-distinct sites (fractional):
1 Li 0.000 0.000 0.000 (multiplicity 4)
2 Sc 0.250 0.250 0.250 (multiplicity 4)
3 Cd 0.000 0.000 0.500 (multiplicity 4)
4 Cd 0.250 0.250 0.750 (multiplicity 4)
5 O 0.000 0.031 0.238 (multiplicity 8)
6 O 0.246 0.250 0.009 (multiplicity 8)

Values from the calculation:
- Density: 5.90 g cm⁻³
- DOS(E_F): 0.000 states/eV per cell
- E_form (uncorrected): -1.920 eV per atom
- Calculated volume: 383.5 Å³/cell
- E_tot: -5.66 eV per atom

The following is a DFT calculation (GGA-PBE) of Ti7Hg2N2 after structural relaxation.

Lattice parameters (Å, degrees): 9.608 6.326 5.894 90.00 96.82 90.00
Space group C2/m (No. 12)
Symmetry-distinct sites (fractional):
1 Ti 0.000 0.000 0.000 (multiplicity 2)
2 Ti 0.064 0.500 0.839 (multiplicity 4)
3 Ti 0.221 0.278 0.215 (multiplicity 8)
4 Hg 0.000 0.213 0.500 (multiplicity 4)
5 N 0.223 0.000 0.023 (multiplicity 4)

Values from the calculation:
- Density: 7.14 g cm⁻³
- DOS(E_F): 16.512 states/eV per cell
- E_form (uncorrected): -0.495 eV per atom
- Calculated volume: 355.7 Å³/cell
- E_tot: -7.09 eV per atom